! V4Ni2H (PBE, relaxed); values from VASP
! Total magnetization in μB/f.u.: 0.00
! Space group: I4/mmm (139)
! Density in kg/m³: 6587
! Energy in eV/atom: -7.264
&SYSTEM
  ibrav = 0, nat = 7, ntyp = 3
/
ATOMIC_SPECIES
V 50.94 V.upf
Ni 58.69 Ni.upf
H 1.01 H.upf
ATOMIC_POSITIONS angstrom
V -4.331 0.896 -3.293
Ni -5.047 3.065 -3.432
V -0.128 -0.154 -1.743
V -1.661 -0.537 0.170
H 0.000 0.000 0.000
V -3.101 3.284 -1.829
Ni -2.385 1.114 -1.689
CELL_PARAMETERS angstrom
-0.256 -0.309 -3.485
-3.322 -1.075 0.339
-3.854 5.563 -1.975

***

! Zn2In2Pd7 (PBE, relaxed); values from VASP
! Total magnetization in μB/f.u.: 0.00
! Energy relative to the elements in meV per atom: -364
! Space group: P-1 (2)
! Density in kg/m³: 10100
! Energy in eV/atom: -4.398
&SYSTEM
  ibrav = 0, nat = 11, ntyp = 3
/
ATOMIC_SPECIES
Pd 106.42 Pd.upf
Zn 65.41 Zn.upf
In 114.82 In.upf
ATOMIC_POSITIONS angstrom
Pd 0.053 -2.578 -1.307
Zn 0.147 -2.253 -3.875
Pd -0.269 -5.141 -0.138
Zn 2.297 -3.625 -0.501
Pd 2.391 -3.300 -3.068
In -0.006 -5.061 -3.002
Pd 0.906 -3.238 1.602
In 2.450 -0.817 -1.374
Pd 1.537 -2.640 -5.977
Pd 0.000 0.000 0.000
Pd 2.713 -0.737 -4.238
CELL_PARAMETERS angstrom
-1.672 -0.789 -7.130
4.675 0.125 0.097
-0.559 -5.214 2.658

***

! Tm5Sc2Tl5 (PBE, relaxed); values from VASP
! Total magnetization in μB/f.u.: 0.00
! Energy relative to the elements in meV per atom: -180
! Space group: C2/m (12)
! Density in kg/m³: 10029
! Energy in eV/atom: -4.085
&SYSTEM
  ibrav = 0, nat = 12, ntyp = 3
/
ATOMIC_SPECIES
Tl 204.38 Tl.upf
Tm 168.93 Tm.upf
Sc 44.96 Sc.upf
ATOMIC_POSITIONS angstrom
Tl 2.478 2.171 5.761
Tm 2.478 -1.878 11.114
Tm 0.000 4.147 -0.259
Tl 2.478 -0.208 8.532
Tm 0.000 1.630 7.831
Tm 2.478 -1.837 5.617
Tl 0.000 2.477 2.323
Sc 0.000 -1.905 8.530
Tl 0.000 0.000 0.000
Tm 2.478 0.639 3.023
Sc 2.478 4.174 2.325
Tl 0.000 0.099 5.093
CELL_PARAMETERS angstrom
4.955 0.000 0.000
-2.478 5.944 -0.379
0.000 -3.675 11.234

***

! Th2ZrNi9 (PBE, relaxed); values from VASP
! Total magnetization in μB/f.u.: 0.00
! Energy relative to the elements in meV per atom: -373
! Space group: R-3m (166)
! Density in kg/m³: 10233
! Energy in eV/atom: -6.658
&SYSTEM
  ibrav = 0, nat = 12, ntyp = 3
/
ATOMIC_SPECIES
Zr 91.22 Zr.upf
Ni 58.69 Ni.upf
Th 232.04 Th.upf
ATOMIC_POSITIONS angstrom
Zr 0.000 0.000 0.000
Ni 3.694 3.558 6.356
Ni 2.464 1.423 0.004
Ni 4.928 4.270 2.004
Ni 6.162 2.133 2.004
Ni 6.162 3.558 6.356
Ni 4.928 2.845 4.180
Ni 3.694 2.133 2.004
Ni 4.928 1.420 6.356
Th 7.392 4.268 3.367
Ni 7.393 4.268 8.356
Th 2.464 1.423 4.992
CELL_PARAMETERS angstrom
4.928 0.000 0.000
2.464 4.268 0.000
2.464 1.423 8.359

***

! Tb2HoHg (PBE, relaxed); values from VASP
! Distance to the lowest polymorph of the same formula in meV/atom: 102
! Total magnetization in μB/f.u.: 0.00
! Energy relative to the elements in meV per atom: -121
! Space group: P4/mmm (123)
! Density in kg/m³: 10082
! Energy in eV/atom: -3.656
&SYSTEM
  ibrav = 0, nat = 4, ntyp = 3
/
ATOMIC_SPECIES
Tb 158.93 Tb.upf
Ho 164.93 Ho.upf
Hg 200.59 Hg.upf
ATOMIC_POSITIONS angstrom
Tb 2.222 0.345 1.533
Ho 2.060 -2.831 2.482
Tb 0.788 -2.542 -0.569
Hg -0.949 -0.634 1.518
CELL_PARAMETERS angstrom
-1.898 -1.268 3.036
1.575 -5.084 -1.138
4.444 0.690 3.066

***

! Nd4Sm3Dy3 (PBE, relaxed); values from VASP
! Total magnetization in μB/f.u.: 0.00
! Energy relative to the elements in meV per atom: 110
! Space group: Amm2 (38)
! Density in kg/m³: 7388
! Energy in eV/atom: -4.593
&SYSTEM
  ibrav = 0, nat = 10, ntyp = 3
/
ATOMIC_SPECIES
Nd 144.24 Nd.upf
Dy 162.50 Dy.upf
Sm 150.36 Sm.upf
ATOMIC_POSITIONS angstrom
Nd 4.347 2.830 4.507
Nd 5.193 -0.585 4.462
Dy 1.602 3.809 2.304
Sm 1.906 0.416 4.390
Sm 4.578 -3.501 5.844
Nd 8.293 1.941 7.794
Nd 1.251 0.286 1.174
Sm 5.122 1.172 7.413
Dy 2.453 5.080 5.959
Dy 6.331 4.921 6.751
CELL_PARAMETERS angstrom
-2.510 -0.660 2.835
6.374 -5.354 4.398
3.166 7.597 4.571

***

! Al3Fe4W (PBE, relaxed); values from VASP
! Total magnetization in μB/f.u.: 0.61
! Energy relative to the elements in meV per atom: -255
! Space group: P4/mmm (123)
! Density in kg/m³: 8269
! Energy in eV/atom: -7.509
&SYSTEM
  ibrav = 0, nat = 8, ntyp = 3
/
ATOMIC_SPECIES
Fe 55.84 Fe.upf
Al 26.98 Al.upf
W 183.84 W.upf
ATOMIC_POSITIONS angstrom
Fe -4.064 4.822 7.812
Fe -1.760 2.088 3.383
Fe -2.894 3.434 5.564
Al -2.074 -0.335 2.944
W -0.872 -1.761 0.634
Al -3.199 1.000 5.107
Fe -0.591 0.701 1.135
Al -4.324 2.335 7.271
CELL_PARAMETERS angstrom
-2.546 -1.339 -0.498
0.803 -2.183 1.765
-4.654 5.523 8.948

***

! Y2ScHg (PBE, relaxed); values from VASP
! Total magnetization in μB/f.u.: 0.01
! Energy relative to the elements in meV per atom: -155
! Space group: Cmmm (65)
! Density in kg/m³: 6541
! Energy in eV/atom: -5.045
&SYSTEM
  ibrav = 0, nat = 4, ntyp = 3
/
ATOMIC_SPECIES
Sc 44.96 Sc.upf
Y 88.91 Y.upf
Hg 200.59 Hg.upf
ATOMIC_POSITIONS angstrom
Sc 2.424 2.214 0.025
Y 0.000 0.000 0.000
Y 4.846 0.597 1.535
Hg -0.702 2.804 1.552
CELL_PARAMETERS angstrom
7.972 0.007 0.009
-3.124 4.421 0.042
1.720 1.186 3.062